1.
SbIrW | PBE-GGA | optimized geometry

## Properties
The value obtained for the energy above the most stable polymorph in this dataset is 0.38 eV/f.u. The calculated density comes out at 13.96 g/cm³. The total energy is -8.270 eV per atom. Its energy relative to the elements, uncorrected is 0.376 eV/atom. The calculation puts the density of states at the Fermi level at 3.40 states/eV/cell.

a b c (Å): 4.3752 4.3752 4.3752
angles (deg): 60.00 60.00 60.00
Closest atoms and distances in Å follow each position.
Sites, in units of the cell vectors:
Sb  0.0000  0.0000  0.0000  4 Ir 2.68
Ir  0.7500  0.7500  0.7500  4 W 2.68, 4 Sb 2.68
W  0.5000  0.5000  0.5000  4 Ir 2.68

---

2.
SbIrW2 | PBE-GGA | optimized geometry

## Properties
The calculated density comes out at 16.39 g/cm³. The total energy is -9.322 eV per atom. Its energy relative to the elements, uncorrected is 0.400 eV/atom. The calculation puts the density of states at the Fermi level at 2.05 states/eV/cell.

a b c (Å): 4.1605 2.8516 6.1613
angles (deg): 70.90 90.00 90.00
Closest atoms and distances in Å follow each position.
Sites, in units of the cell vectors:
Sb  0.5000  0.7500  0.7500  4 W 2.82, 2 Sb 2.85, 2 Ir 2.94
W  0.0000  0.6042  0.4708  3 W 2.57-2.85, 2 Sb 2.82, 4 Ir 2.82-2.85
W  0.0000  0.8958  0.0292  3 W 2.57-2.85, 2 Sb 2.82, 4 Ir 2.82-2.85
Ir  0.5000  0.2500  0.2500  8 W 2.82-2.85, 2 Ir 2.85, 2 Sb 2.94